Entry 1:
# LuNbCoB PBE relaxed
data_LuNbCoB
_chemical_formula_sum 'Lu4 Nb4 Co4 B4'
_cell_length_a 6.1390
_cell_length_b 6.1390
_cell_length_c 6.1390
_cell_angle_alpha 90.00
_cell_angle_beta 90.00
_cell_angle_gamma 90.00
_symmetry_space_group_name_H-M 'F -4 3 m'
_symmetry_Int_Tables_number 216
_symmetry_space_group_name_Hall 'F -4 2 3'
loop_
_atom_site_label
_atom_site_type_symbol
_atom_site_fract_x
_atom_site_fract_y
_atom_site_fract_z
Lu1 Lu 0.0000 0.0000 0.0000
Nb1 Nb 0.2500 0.2500 0.7500
Co1 Co 0.0000 0.0000 0.5000
B1 B 0.2500 0.2500 0.2500
# Relative energy among the computed polymorphs, meV/atom: 34


Entry 2:
# LuNbCoB PBE relaxed
data_LuNbCoB
_chemical_formula_sum 'Lu4 Nb4 Co4 B4'
_cell_length_a 6.1075
_cell_length_b 6.1075
_cell_length_c 6.1075
_cell_angle_alpha 90.00
_cell_angle_beta 90.00
_cell_angle_gamma 90.00
_symmetry_space_group_name_H-M 'F -4 3 m'
_symmetry_Int_Tables_number 216
_symmetry_space_group_name_Hall 'F -4 2 3'
loop_
_atom_site_label
_atom_site_type_symbol
_atom_site_fract_x
_atom_site_fract_y
_atom_site_fract_z
Lu1 Lu 0.0000 0.0000 0.0000
Nb1 Nb 0.2500 0.2500 0.2500
Co1 Co 0.2500 0.2500 0.7500
B1 B 0.0000 0.0000 0.5000
# Relative energy among the computed polymorphs, meV/atom: 0


Entry 3:
# LuCoNiB PBE relaxed
data_LuCoNiB
_chemical_formula_sum 'Lu4 Co4 Ni4 B4'
_cell_length_a 5.8237
_cell_length_b 5.8237
_cell_length_c 5.8237
_cell_angle_alpha 90.00
_cell_angle_beta 90.00
_cell_angle_gamma 90.00
_symmetry_space_group_name_H-M 'F -4 3 m'
_symmetry_Int_Tables_number 216
_symmetry_space_group_name_Hall 'F -4 2 3'
loop_
_atom_site_label
_atom_site_type_symbol
_atom_site_fract_x
_atom_site_fract_y
_atom_site_fract_z
Lu1 Lu 0.0000 0.0000 0.0000
Co1 Co 0.2500 0.2500 0.7500
Ni1 Ni 0.2500 0.2500 0.2500
B1 B 0.0000 0.0000 0.5000
# Relative energy among the computed polymorphs, meV/atom: 0


Entry 4:
# LuCoNiB PBE relaxed
data_LuCoNiB
_chemical_formula_sum 'Lu4 Co4 Ni4 B4'
_cell_length_a 5.9062
_cell_length_b 5.9062
_cell_length_c 5.9062
_cell_angle_alpha 90.00
_cell_angle_beta 90.00
_cell_angle_gamma 90.00
_symmetry_space_group_name_H-M 'F -4 3 m'
_symmetry_Int_Tables_number 216
_symmetry_space_group_name_Hall 'F -4 2 3'
loop_
_atom_site_label
_atom_site_type_symbol
_atom_site_fract_x
_atom_site_fract_y
_atom_site_fract_z
Lu1 Lu 0.0000 0.0000 0.0000
Co1 Co 0.0000 0.0000 0.5000
Ni1 Ni 0.2500 0.2500 0.7500
B1 B 0.2500 0.2500 0.2500
# Relative energy among the computed polymorphs, meV/atom: 17